! ZnGaHg2 GGA-PBE optimized geometry; values from VASP
&SYSTEM
  ibrav = 0, nat = 4, ntyp = 3
/
ATOMIC_SPECIES
Zn 65.41 Zn.upf
Hg 200.59 Hg.upf
Ga 69.72 Ga.upf
CELL_PARAMETERS angstrom
0.000 3.519 3.519
3.519 0.000 3.519
3.519 3.519 0.000
ATOMIC_POSITIONS angstrom
Zn 0.000 0.000 0.000
Hg 1.759 1.759 1.759
Hg 5.278 5.278 5.278
Ga 3.519 3.519 3.519
! Total magnetic moment, μB per cell: 0.00
! SG: Fm-3m, No. 225
! Distance to the lowest polymorph of the same formula, eV per formula unit: 0.08
! Formation enthalpy at 0 K, eV per atom: 0.13
! Total energy, eV/atom: -1.097

! Zn2GaHg GGA-PBE optimized geometry; values from VASP
&SYSTEM
  ibrav = 0, nat = 8, ntyp = 3
/
ATOMIC_SPECIES
Zn 65.41 Zn.upf
Hg 200.59 Hg.upf
Ga 69.72 Ga.upf
CELL_PARAMETERS angstrom
7.530 0.000 0.000
0.000 7.530 0.000
3.765 3.765 2.859
ATOMIC_POSITIONS angstrom
Zn 5.529 1.883 0.715
Zn 2.001 5.648 0.715
Zn 5.648 5.766 2.144
Zn 9.413 9.295 2.144
Hg 0.000 0.000 0.000
Hg 7.530 3.765 1.430
Ga 3.765 3.765 0.000
Ga 3.765 7.530 1.430
! Total magnetic moment, μB per cell: 0.00
! SG: I-42d, No. 122
! Distance to the lowest polymorph of the same formula, eV per formula unit: 0.23
! Formation enthalpy at 0 K, eV per atom: 0.15
! Total energy, eV/atom: -1.317

! ZnGaHg2 GGA-PBE optimized geometry; values from VASP
&SYSTEM
  ibrav = 0, nat = 8, ntyp = 3
/
ATOMIC_SPECIES
Zn 65.41 Zn.upf
Hg 200.59 Hg.upf
Ga 69.72 Ga.upf
CELL_PARAMETERS angstrom
-0.561 -7.800 0.465
7.802 -0.586 -0.414
3.791 -4.028 2.998
ATOMIC_POSITIONS angstrom
Zn 3.620 -4.193 0.025
Zn 7.606 -4.403 1.305
Hg 1.577 -5.889 0.984
Hg 5.749 -2.414 0.553
Hg 5.624 -6.171 2.264
Hg 9.112 -10.354 2.297
Ga 0.000 0.000 0.000
Ga 3.425 -8.011 1.744
! Total magnetic moment, μB per cell: 0.00
! SG: I-42d, No. 122
! Distance to the lowest polymorph of the same formula, eV per formula unit: 0.07
! Formation enthalpy at 0 K, eV per atom: 0.13
! Total energy, eV/atom: -1.100